First-principles (SCAN) data for a crystal of SrBi2Se2 relaxed with PBEsol, as listed in Alexandria via LeMat-Bulk.

```
data_SrBi2Se2
_chemical_formula_sum 'Sr2 Bi4 Se4'
_symmetry_space_group_name_H-M 'P 4/m b m'
_symmetry_Int_Tables_number 127
_symmetry_space_group_name_Hall '-P 4 2ab'
_cell_length_a 8.185
_cell_length_b 8.185
_cell_length_c 4.318
_cell_angle_alpha 90.00
_cell_angle_beta 90.00
_cell_angle_gamma 90.00
loop_
_atom_site_label
_atom_site_fract_x
_atom_site_fract_y
_atom_site_fract_z
Sr1 0.000 0.000 0.000
Bi1 0.184 0.316 0.500
Se1 0.159 0.659 0.000
```

Output
Formation energy (no corrections) in eV per atom: -0.59
E above lowest polymorph in meV/atom: 69
Magnetic moment in μB/f.u.: 0.00

***

First-principles (SCAN) data for a crystal of LiNi2Ru relaxed with PBEsol, as listed in Alexandria via LeMat-Bulk.

```
data_LiNi2Ru
_chemical_formula_sum 'Li1 Ni2 Ru1'
_symmetry_space_group_name_H-M 'P m m m'
_symmetry_Int_Tables_number 47
_cell_length_a 2.485
_cell_length_b 3.694
_cell_length_c 4.936
_cell_angle_alpha 90.00
_cell_angle_beta 90.00
_cell_angle_gamma 90.00
loop_
_symmetry_equiv_pos_as_xyz
'x,y,z'
'-x,-y,-z'
'-x,-y,z'
'x,y,-z'
'x,-y,-z'
'-x,y,z'
'-x,y,-z'
'x,-y,z'
loop_
_atom_site_label
_atom_site_fract_x
_atom_site_fract_y
_atom_site_fract_z
Li1 0.000 0.000 0.000
Ni1 0.500 0.500 0.254
Ru1 0.000 0.000 0.500
```

Output
E above lowest polymorph in meV/atom: 72
Energy of formation from the pure elements in eV per atom: 0.118
Magnetic moment in μB/f.u.: 0.00

***

First-principles (SCAN) data for a crystal of NbFeSb relaxed with PBEsol, as listed in Alexandria via LeMat-Bulk.

```
data_NbFeSb
_chemical_formula_sum 'Nb4 Fe4 Sb4'
_symmetry_space_group_name_H-M 'F -4 3 m'
_symmetry_Int_Tables_number 216
_symmetry_space_group_name_Hall 'F -4 2 3'
_cell_length_a 5.897
_cell_length_b 5.897
_cell_length_c 5.897
_cell_angle_alpha 90.00
_cell_angle_beta 90.00
_cell_angle_gamma 90.00
loop_
_atom_site_label
_atom_site_fract_x
_atom_site_fract_y
_atom_site_fract_z
Nb1 0.000 0.000 0.000
Fe1 0.250 0.250 0.750
Sb1 0.000 0.000 0.500
```

Output
Formation energy (no corrections) in eV per atom: -0.37
Magnetic moment in μB/f.u.: 0.00

***

First-principles (SCAN) data for a crystal of YMg2TlBr relaxed with PBEsol, as listed in Alexandria via LeMat-Bulk.

```
data_YMg2TlBr
_chemical_formula_sum 'Y1 Mg2 Tl1 Br1'
_symmetry_space_group_name_H-M 'P 4/m m m'
_symmetry_Int_Tables_number 123
_symmetry_space_group_name_Hall '-P 4 2'
_cell_length_a 5.233
_cell_length_b 5.233
_cell_length_c 5.954
_cell_angle_alpha 90.00
_cell_angle_beta 90.00
_cell_angle_gamma 90.00
loop_
_atom_site_label
_atom_site_fract_x
_atom_site_fract_y
_atom_site_fract_z
Y1 0.000 0.000 0.000
Mg1 0.000 0.500 0.500
Tl1 0.500 0.500 0.500
Br1 0.500 0.500 0.000
```

Output
Formation energy (no corrections) in eV per atom: 0.23
Magnetic moment in μB/f.u.: 1.32